Entry 1:
Entry from Alexandria: a relaxed structure of Ca7Mo6 (GGA-PBE).

Cell and atoms, written as POSCAR:
```
Ca7Mo6
1.0
-3.476 -10.653 3.603
-0.421 -11.639 -1.702
2.721 -10.875 3.589
Mo Ca
6 7
direct
0.895 0.895 0.895
0.666 0.666 0.666
0.334 0.334 0.334
0.105 0.105 0.105
0.961 0.961 0.961
0.039 0.039 0.039
0.572 0.572 0.072
0.572 0.072 0.572
0.500 0.500 0.500
0.428 0.428 0.928
0.072 0.572 0.572
0.428 0.928 0.428
0.928 0.428 0.428
```

Properties
space-group type: R-3m (166)
N(E_F): 15.81 states/eV per cell
formation enthalpy at 0 K: 1.247 eV per atom
final energy: -4.830 eV/atom



Entry 2:
Entry from Alexandria: a relaxed structure of CaMo (GGA-PBE).

Cell and atoms, written as POSCAR:
```
CaMo
1.0
-2.106 1.915 -1.152
-2.885 -3.371 -0.330
-2.349 1.368 6.566
Mo Ca
2 2
direct
0.500 0.500 0.740
0.500 0.000 0.593
0.000 0.000 0.985
0.000 0.500 0.348
```

Properties
space-group type: Pmma (51)
N(E_F): 4.70 states/eV per cell
formation enthalpy at 0 K: 0.686 eV per atom
final energy: -5.730 eV/atom



Entry 3:
Entry from Alexandria: a relaxed structure of CaMo5 (GGA-PBE).

Cell and atoms, written as POSCAR:
```
CaMo5
1.0
3.330 -1.932 3.701
-1.812 -3.374 3.721
1.441 -5.140 -0.128
Mo Ca
5 1
direct
0.625 0.625 0.625
0.625 0.625 0.126
0.126 0.625 0.625
0.625 0.126 0.625
0.250 0.250 0.250
0.000 0.000 0.000
```

Properties
space-group type: F-43m (216)
N(E_F): 2.57 states/eV per cell
formation enthalpy at 0 K: 0.400 eV per atom
final energy: -8.959 eV/atom



Entry 4:
Entry from Alexandria: a relaxed structure of CaMo (GGA-PBE).

Cell and atoms, written as POSCAR:
```
CaMo
1.0
-8.725 -1.423 -5.336
-7.914 -4.659 -4.720
-9.624 -2.868 -2.401
Ca Mo
2 2
direct
0.014 0.014 0.014
0.236 0.236 0.236
0.766 0.766 0.766
0.484 0.484 0.484
```

Properties
space-group type: R-3m (166)
N(E_F): 3.82 states/eV per cell
formation enthalpy at 0 K: 0.560 eV per atom
final energy: -5.856 eV/atom



Entry 5:
Entry from Alexandria: a relaxed structure of Ca3MoN4 (GGA-PBE).

Cell and atoms, written as POSCAR:
```
Ca3MoN4
1.0
5.241 0.000 0.000
0.000 6.641 0.000
0.000 0.000 7.677
N Ca Mo
8 6 2
direct
0.080 0.313 0.212
0.580 0.687 0.288
0.649 0.180 0.000
0.149 0.820 0.500
0.076 0.895 0.000
0.580 0.687 0.712
0.576 0.105 0.500
0.080 0.313 0.788
0.543 0.328 0.744
0.043 0.150 0.500
0.043 0.672 0.756
0.543 0.850 0.000
0.043 0.672 0.244
0.543 0.328 0.256
0.501 0.824 0.500
0.001 0.176 0.000
```

Properties
space-group type: Pmn2_1 (31)
N(E_F): 0.00 states/eV per cell
final energy: -7.287 eV/atom



Entry 6:
Entry from Alexandria: a relaxed structure of Ca2MoN3 (GGA-PBE).

Cell and atoms, written as POSCAR:
```
Ca2MoN3
1.0
5.167 0.000 0.000
0.000 6.279 -0.016
-2.583 -1.585 5.020
N Mo Ca
6 2 4
direct
0.137 0.569 0.285
0.585 0.750 0.000
0.149 0.069 0.285
0.851 0.931 0.715
0.415 0.250 0.000
0.863 0.431 0.715
0.066 0.250 0.000
0.934 0.750 0.000
0.323 0.411 0.645
0.322 0.911 0.645
0.678 0.089 0.355
0.677 0.589 0.355
```

Properties
space-group type: C2/c (15)
N(E_F): 3.07 states/eV per cell
final energy: -7.481 eV/atom